Computed, not measured: a geometry-optimized SiMoAu structure at the PBE level of DFT.

Calculated values
ΔE to the lowest computed polymorph in eV per atom: 0.0000
VASP energy in Ry/atom: -0.4695
M_tot in μB/cell: 0.00

extended XYZ file:
```
12
Lattice="5.885 0.000 0.000 0.000 5.885 0.000 0.000 0.000 5.885" Properties=species:S:1:pos:R:3 pbc="T T T"
Si 0.000 0.000 0.000
Si 0.000 2.943 2.943
Si 2.943 0.000 2.943
Si 2.943 2.943 0.000
Mo 1.471 1.471 1.471
Mo 1.471 4.414 4.414
Mo 4.414 1.471 4.414
Mo 4.414 4.414 1.471
Au 1.471 1.471 4.414
Au 1.471 4.414 1.471
Au 4.414 1.471 1.471
Au 4.414 4.414 4.414
```